## ZrFe2H (PBE)

Data for ZrFe2H after structural relaxation.

a = 5.1244 Å, b = 5.1244 Å, c = 5.1244 Å
α = 60.00°, β = 60.00°, γ = 60.00°
Element x y z (fractional)
Zr: 0.1250 0.1250 0.1250
Zr: 0.8750 0.8750 0.8750
Fe: 0.0000 0.5000 0.5000
Fe: 0.5000 0.0000 0.5000
Fe: 0.5000 0.5000 0.0000
Fe: 0.5000 0.5000 0.5000
H: 0.3750 0.3750 0.3750
H: 0.6250 0.6250 0.6250

Computed properties:
Distance to the lowest polymorph of the same formula, kJ/mol of formula units: 0

---

## TlBi2SbMo (PBE)

Data for TlBi2SbMo after structural relaxation.

a = 5.4012 Å, b = 5.4012 Å, c = 5.4623 Å
α = 90.00°, β = 90.00°, γ = 90.00°
Element x y z (fractional)
Tl: 0.0000 0.0000 0.0000
Bi: 0.0000 0.5000 0.5000
Bi: 0.5000 0.0000 0.5000
Sb: 0.5000 0.5000 0.0000
Mo: 0.0000 0.0000 0.5000

Computed properties:
Raw total energy, eV per atom: -4.3905

---

## In2CuAu (PBE)

Data for In2CuAu after structural relaxation.

a = 5.0127 Å, b = 5.0127 Å, c = 5.0127 Å
α = 126.37°, β = 126.37°, γ = 79.28°
Element x y z (fractional)
In: 0.2500 0.7500 0.5000
In: 0.7500 0.2500 0.5000
Cu: 0.0000 0.0000 0.0000
Au: 0.5000 0.5000 0.0000

Computed properties:
DFT formation energy, meV per atom: 36.2

---

| no. | calculated density (g/cm³) |
| --- | --- |
| 1 | 7.118 |
| 2 | 8.754 |
| 3 | 10.309 |